This record from Alexandria via LeMat-Bulk describes AlCrN2O after structural relaxation. The functional is PBE+U.

Cell lengths 3.779, 3.779, 3.684 Å; angles 90.00, 90.00, 90.00 degrees
Space group P4/mmm (No. 123)
Unique sites:
1 Al 0.000 0.000 0.000 [1 per cell]
2 Cr 0.500 0.500 0.500 [1 per cell]
3 N 0.000 0.500 0.000 [2 per cell]
4 O 0.000 0.000 0.500 [1 per cell]

E in eV per atom: -6.55